1.
A relaxed structure of CaHg2Os, computed with PBE.

spin magnetization	0.165	μB/atom
energy of formation	0.600	eV/atom

a = 3.1955 Å, b = 3.1955 Å, c = 28.8104 Å
α = 90.00°, β = 90.00°, γ = 120.00°
Space group R-3m (No. 166, hexagonal axes)
Symmetry-distinct sites (fractional):
Ca: 0.0000 0.0000 0.0000 x3
Hg: 0.0000 0.0000 0.2453 x6
Os: 0.0000 0.0000 0.5000 x3



2.
A relaxed structure of HoTmZnNi, computed with PBE.

spin magnetization	0.000	μB/atom
energy of formation	-0.401	eV/atom

a = 3.429 Å, b = 3.429 Å, c = 6.912 Å
α = 90.00°, β = 90.00°, γ = 90.00°
Space group P4mm (No. 99)
Symmetry-distinct sites (fractional):
Ho: 0.000 0.000 0.000 x1
Tm: 0.000 0.000 0.532 x1
Zn: 0.500 0.500 0.270 x1
Ni: 0.500 0.500 0.761 x1



3.
A relaxed structure of Cs2AlCuCl6, computed with PBE.

spin magnetization	0.006	μB/atom
formation energy without anion corrections	-1448	meV/atom

a = 10.086 Å, b = 10.086 Å, c = 10.086 Å
α = 90.00°, β = 90.00°, γ = 90.00°
Space group Fm-3m (No. 225)
Symmetry-distinct sites (fractional):
Cs: 0.250 0.250 0.250 x8
Al: 0.000 0.000 0.000 x4
Cu: 0.000 0.000 0.500 x4
Cl: 0.000 0.000 0.237 x24



4.
A relaxed structure of Cs2NaU2Se6, computed with PBE.

spin magnetization	0.273	μB/atom
formation energy without anion corrections	-1251	meV/atom

a = 7.313 Å, b = 12.813 Å, c = 8.778 Å
α = 90.00°, β = 104.53°, γ = 90.00°
Space group C2/m (No. 12)
Symmetry-distinct sites (fractional):
Cs: 0.000 0.157 0.000 x4
Na: 0.000 0.000 0.500 x2
U: 0.000 0.334 0.500 x4
Se: 0.190 0.500 0.683 x4
Se: 0.235 0.183 0.681 x8



5.
A relaxed structure of Sr2Al2O5, computed with PBE.

spin magnetization	0.000	μB/atom
formation energy without anion corrections	-2878	meV/atom

a = 10.522 Å, b = 3.846 Å, c = 6.035 Å
α = 90.00°, β = 104.19°, γ = 90.00°
Space group C2/m (No. 12)
Symmetry-distinct sites (fractional):
Sr: 0.105 0.000 0.329 x4
Al: 0.152 0.500 0.894 x4
O: 0.000 0.500 0.000 x2
O: 0.145 0.500 0.597 x4
O: 0.173 0.000 0.945 x4



6.
A relaxed structure of LiNdRh4, computed with PBE.

spin magnetization	0.002	μB/atom
energy of formation	-0.383	eV/atom

a = 7.479 Å, b = 7.479 Å, c = 7.479 Å
α = 90.00°, β = 90.00°, γ = 90.00°
Space group F-43m (No. 216)
Symmetry-distinct sites (fractional):
Li: 0.000 0.000 0.000 x4
Nd: 0.250 0.250 0.250 x4
Rh: 0.125 0.125 0.625 x16



7.
A relaxed structure of Ac2TeS2O2, computed with PBE.

spin magnetization	0.000	μB/atom
formation energy without anion corrections	-2030	meV/atom

a = 4.1837 Å, b = 4.1837 Å, c = 12.2036 Å
α = 90.00°, β = 90.00°, γ = 120.00°
Space group P-3m1 (No. 164)
Symmetry-distinct sites (fractional):
Ac: 0.3333 0.6667 0.1320 x2
Te: 0.0000 0.0000 0.5000 x1
S: 0.0000 0.0000 0.2933 x2
O: 0.3333 0.6667 0.9245 x2



8.
A relaxed structure of LaV2Ag, computed with PBE.

spin magnetization	1.621	μB/atom
energy of formation	0.666	eV/atom

a = 6.925 Å, b = 6.925 Å, c = 6.925 Å
α = 90.00°, β = 90.00°, γ = 90.00°
Space group Fm-3m (No. 225)
Symmetry-distinct sites (fractional):
La: 0.000 0.000 0.000 x4
V: 0.250 0.250 0.250 x8
Ag: 0.000 0.000 0.500 x4



9.
A relaxed structure of Li2InHRu, computed with PBE.

spin magnetization	0.000	μB/atom
energy	-4.005	eV per atom

a = 3.985 Å, b = 3.985 Å, c = 3.875 Å
α = 90.00°, β = 90.00°, γ = 90.00°
Space group P4/mmm (No. 123)
Symmetry-distinct sites (fractional):
Li: 0.000 0.500 0.000 x2
In: 0.000 0.000 0.500 x1
H: 0.500 0.500 0.000 x1
Ru: 0.500 0.500 0.500 x1



10.
A relaxed structure of MgTl2Fe, computed with PBE.

spin magnetization	0.671	μB/atom
energy of formation	0.388	eV/atom

a = 3.468 Å, b = 3.468 Å, c = 7.103 Å
α = 90.00°, β = 90.00°, γ = 90.00°
Space group P4/mmm (No. 123)
Symmetry-distinct sites (fractional):
Mg: 0.000 0.000 0.000 x1
Tl: 0.500 0.500 0.272 x2
Fe: 0.000 0.000 0.500 x1



11.
A relaxed structure of NdTa2NiN4, computed with PBE.

spin magnetization	0.000	μB/atom
formation energy without anion corrections	-977	meV/atom

a = 3.232 Å, b = 10.642 Å, c = 10.841 Å
α = 90.00°, β = 90.00°, γ = 90.00°
Space group Cmcm (No. 63)
Symmetry-distinct sites (fractional):
Nd: 0.000 0.108 0.250 x4
Ta: 0.000 0.370 0.058 x8
Ni: 0.000 0.162 0.750 x4
N: 0.000 0.000 0.000 x4
N: 0.000 0.271 0.606 x8
N: 0.000 0.445 0.250 x4



12.
A relaxed structure of Ti4Ge2H, computed with PBE.

spin magnetization	0.000	μB/atom
energy	-6.665	eV per atom

a = 12.498 Å, b = 3.469 Å, c = 4.819 Å
α = 90.00°, β = 102.30°, γ = 90.00°
Space group C2/m (No. 12)
Symmetry-distinct sites (fractional):
Ti: 0.078 0.000 0.256 x4
Ti: 0.100 0.500 0.742 x4
Ge: 0.240 0.500 0.284 x4
H: 0.000 0.500 0.000 x2



Repeat the eighth record exactly.
A relaxed structure of LaV2Ag, computed with PBE.

spin magnetization	1.621	μB/atom
energy of formation	0.666	eV/atom

a = 6.925 Å, b = 6.925 Å, c = 6.925 Å
α = 90.00°, β = 90.00°, γ = 90.00°
Space group Fm-3m (No. 225)
Symmetry-distinct sites (fractional):
La: 0.000 0.000 0.000 x4
V: 0.250 0.250 0.250 x8
Ag: 0.000 0.000 0.500 x4